(1)
The following is a PBE calculation of an optimized crystal structure of YHoOs, from Alexandria.

## Properties
Formation energy = -0.23 eV/atom
N(E_F) = 0.458 states/eV/atom
Total moment = 0.00 μB/atom
Volume = 75.66 Å³ per cell

Unit cell a=3.395 b=3.395 c=6.989 alpha=104.06 beta=104.06 gamma=90.00
Sites, in units of the cell vectors:
1 Y 0.040 0.040 0.080
2 Os 0.668 0.668 0.336
3 Ho 0.292 0.292 0.584


(2)
The following is a PBE calculation of an optimized crystal structure of La6As3P2Se, from Alexandria.

## Properties
Formation energy without anion corrections = -1683 meV/atom
N(E_F) = 0.218 states/eV/atom
Total moment = 0.00 μB/atom
Volume = 345.26 Å³ per cell

Unit cell a=4.333 b=8.675 c=9.679 alpha=102.81 beta=102.93 gamma=90.00
Sites, in units of the cell vectors:
1 La 0.331 0.910 0.662
2 La 0.669 0.580 0.337
3 La 0.669 0.090 0.338
4 La 0.002 0.257 0.004
5 La 0.998 0.743 0.996
6 La 0.331 0.420 0.663
7 As 0.500 0.500 0.000
8 As 0.835 0.166 0.670
9 As 0.165 0.834 0.330
10 P 0.834 0.668 0.668
11 P 0.166 0.332 0.332
12 Se 0.500 0.000 0.000


(3)
The following is a PBE calculation of an optimized crystal structure of Co5Tc4, from Alexandria.

## Properties
Formation energy = 0.17 eV/atom
N(E_F) = 1.039 states/eV/atom
Total moment = 0.50 μB/atom
Volume = 225.70 Å³ per cell

Unit cell a=7.137 b=7.137 c=5.117 alpha=90.00 beta=90.00 gamma=60.00
Sites, in units of the cell vectors:
1 Co 0.333 0.667 0.250
2 Co 0.000 0.333 0.250
3 Co 0.667 0.000 0.250
4 Co 0.667 0.333 0.750
5 Co 0.000 0.667 0.750
6 Co 0.333 0.000 0.750
7 Co 0.333 0.333 0.000
8 Co 0.667 0.667 0.500
9 Co 0.667 0.667 0.000
10 Co 0.333 0.333 0.500
11 Tc 0.000 0.000 0.000
12 Tc 0.000 0.000 0.500
13 Tc 0.662 0.338 0.250
14 Tc 0.000 0.662 0.250
15 Tc 0.338 0.000 0.250
16 Tc 0.338 0.662 0.750
17 Tc 0.000 0.338 0.750
18 Tc 0.662 0.000 0.750


(4)
The following is a PBE calculation of an optimized crystal structure of Li2PmDyS4, from Alexandria.

## Properties
Formation energy without anion corrections = -1820 meV/atom
N(E_F) = 0.000 states/eV/atom
Total moment = 0.00 μB/atom
Volume = 169.13 Å³ per cell

Unit cell a=3.972 b=6.880 c=6.599 alpha=110.32 beta=90.00 gamma=90.00
Sites, in units of the cell vectors:
1 Li 0.500 0.000 0.500
2 Li 0.000 0.500 0.500
3 Pm 0.000 0.000 0.000
4 Dy 0.500 0.500 0.000
5 S 0.500 0.258 0.254
6 S 0.500 0.742 0.746
7 S 0.000 0.256 0.748
8 S 0.000 0.744 0.252


(5)
The following is a PBE calculation of an optimized crystal structure of TaCr2Se, from Alexandria.

## Properties
Formation energy without anion corrections = 192 meV/atom
N(E_F) = 1.066 states/eV/atom
Total moment = 0.11 μB/atom
Volume = 58.95 Å³ per cell

Unit cell a=4.044 b=3.000 c=4.909 alpha=81.77 beta=90.00 gamma=90.00
Sites, in units of the cell vectors:
1 Cr 0.000 0.094 0.026
2 Cr 0.500 0.340 0.218
3 Se 0.000 0.312 0.516
4 Ta 0.500 0.754 0.740


(6)
The following is a PBE calculation of an optimized crystal structure of LiGa2N, from Alexandria.

## Properties
Formation energy without anion corrections = 686 meV/atom
N(E_F) = 0.097 states/eV/atom
Total moment = 0.00 μB/atom
Volume = 58.50 Å³ per cell

Unit cell a=4.357 b=4.357 c=4.357 alpha=60.00 beta=60.00 gamma=60.00
Sites, in units of the cell vectors:
1 Li 0.000 0.000 0.000
2 Ga 0.250 0.250 0.250
3 Ga 0.750 0.750 0.750
4 N 0.500 0.500 0.500


(7)
The following is a PBE calculation of an optimized crystal structure of Tc2OsSe, from Alexandria.

## Properties
Formation energy without anion corrections = 301 meV/atom
N(E_F) = 0.726 states/eV/atom
Total moment = 0.00 μB/atom
Volume = 58.81 Å³ per cell

Unit cell a=5.235 b=5.235 c=5.235 alpha=147.30 beta=130.00 gamma=61.03
Sites, in units of the cell vectors:
1 Os 0.476 0.476 0.000
2 Se 0.250 0.750 0.500
3 Tc 0.025 0.025 0.000
4 Tc 0.748 0.248 0.500


(8)
The following is a PBE calculation of an optimized crystal structure of SmThSnAu, from Alexandria.

## Properties
Formation energy = -0.57 eV/atom
N(E_F) = 1.331 states/eV/atom
Total moment = 0.00 μB/atom
Volume = 108.46 Å³ per cell

Unit cell a=5.353 b=5.353 c=5.353 alpha=60.00 beta=60.00 gamma=60.00
Sites, in units of the cell vectors:
1 Au 0.250 0.250 0.250
2 Sm 0.500 0.500 0.500
3 Th 0.000 0.000 0.000
4 Sn 0.750 0.750 0.750